Below is an optimized crystal structure of AgSb2Se2, with properties calculated at the PBE-GGA level.

POSCAR file:
```
AgSb2Se2
1.0
-2.094 2.094 7.687
2.094 -2.094 7.687
2.094 2.094 -7.687
Ag Sb Se
1 2 2
Direct
0.000 0.000 0.000 Ag
0.250 0.750 0.500 Sb
0.750 0.250 0.500 Sb
0.415 0.415 0.000 Se
0.585 0.585 0.000 Se
```

As for the uncorrected formation energy: 7.67 kcal/mol of atoms. As for the total energy: -3.280 eV per atom.